[1]
LiNd2Te4 | GGA-PBE | relaxed

The value obtained for the density of states at the Fermi level is 1.18 states/eV per cell. The value obtained for the formation energy from raw total energies is -1.23 eV per atom. As for the crystal system: monoclinic.

The structure belongs to space group P2_1/m (No. 11); the cell edges are 7.767, 6.274 and 8.994 Å and the angles 90.00°, 106.85° and 90.00°. The asymmetric unit holds Li at (0.222, 0.250, 0.180), Nd at (0.237, 0.750, 0.932), Nd at (0.241, 0.750, 0.437), Te at (0.065, 0.250, 0.883), Te at (0.070, 0.250, 0.402) and Te at (0.486, 0.006, 0.748).

---

[2]
Li2Nd3Te4 | GGA-PBE | relaxed

The value obtained for the density of states at the Fermi level is 19.22 states/eV per cell. The value obtained for the energy relative to the lowest polymorph listed for this composition is 0.037 eV per atom. The value obtained for the formation energy from raw total energies is -1.17 eV per atom. As for the crystal system: monoclinic.

The structure belongs to space group C2/c (No. 15); the cell edges are 14.188, 11.117 and 6.665 Å and the angles 90.00°, 95.63° and 90.00°. The asymmetric unit holds Li at (0.210, 0.124, 0.077), Nd at (0.000, 0.104, 0.750), Nd at (0.113, 0.381, 0.485), Te at (0.106, 0.333, 0.979) and Te at (0.154, 0.098, 0.447).

---

[3]
LiNd6Te8 | GGA-PBE | relaxed

The value obtained for the density of states at the Fermi level is 17.58 states/eV per cell. The value obtained for the formation energy from raw total energies is -1.40 eV per atom. As for the crystal system: cubic.

The structure belongs to space group Fm-3m (No. 225); the cell edges are 12.662, 12.662 and 12.662 Å and the angles 90.00°, 90.00° and 90.00°. The asymmetric unit holds Li at (0.000, 0.000, 0.000), Nd at (0.000, 0.250, 0.250), Te at (0.000, 0.000, 0.247) and Te at (0.250, 0.250, 0.250).

---

[4]
Li2Nd3Te4 | GGA-PBE | relaxed

The value obtained for the density of states at the Fermi level is 7.71 states/eV per cell. The value obtained for the energy relative to the lowest polymorph listed for this composition is 0.000 eV per atom. The value obtained for the formation energy from raw total energies is -1.21 eV per atom. As for the crystal system: monoclinic.

The structure belongs to space group C2/m (No. 12); the cell edges are 15.007, 4.228 and 9.623 Å and the angles 90.00°, 124.50° and 90.00°. The asymmetric unit holds Li at (0.184, 0.000, 0.368), Nd at (0.000, 0.500, 0.000), Nd at (0.123, 0.000, 0.716), Te at (0.081, 0.500, 0.405) and Te at (0.182, 0.000, 0.089).

---

[5]
LiNd4Te4 | GGA-PBE | relaxed

The value obtained for the density of states at the Fermi level is 13.79 states/eV per cell. The value obtained for the formation energy from raw total energies is -1.21 eV per atom. As for the crystal system: tetragonal.

The structure belongs to space group P4_2/nmc (No. 137, origin choice 2); the cell edges are 9.242, 9.242 and 6.296 Å and the angles 90.00°, 90.00° and 90.00°. The asymmetric unit holds Li at (0.250, 0.750, 0.250), Nd at (0.045, 0.250, 0.008) and Te at (0.026, 0.750, 0.499).

---

[6]
LiNdTe2 | GGA-PBE | relaxed

The value obtained for the formation energy from raw total energies is -1.25 eV per atom. As for the crystal system: trigonal.

The structure belongs to space group R3m (No. 160, hexagonal axes); the cell edges are 4.4275, 4.4275 and 22.6684 Å and the angles 90.00°, 90.00° and 120.00°. The asymmetric unit holds Li at (0.0000, 0.0000, 0.0000), Nd at (0.0000, 0.0000, 0.1748), Te at (0.0000, 0.0000, 0.5921) and Te at (0.0000, 0.0000, 0.7595).

---

[7]
LiNd4Te6 | GGA-PBE | relaxed

The value obtained for the density of states at the Fermi level is 31.52 states/eV per cell. The value obtained for the formation energy from raw total energies is -1.33 eV per atom. As for the crystal system: trigonal.

The structure belongs to space group R-3c (No. 167, hexagonal axes); the cell edges are 12.5004, 12.5004 and 14.9449 Å and the angles 90.00°, 90.00° and 120.00°. The asymmetric unit holds Li at (0.0000, 0.0000, 0.0000), Nd at (0.0000, 0.0000, 0.2500), Nd at (0.0000, 0.3913, 0.2500) and Te at (0.0313, 0.2042, 0.3868).

---

[8]
LiNd4Te5 | GGA-PBE | relaxed

The value obtained for the density of states at the Fermi level is 9.65 states/eV per cell. The value obtained for the formation energy from raw total energies is -1.39 eV per atom. As for the crystal system: tetragonal.

The structure belongs to space group I4 (No. 79); the cell edges are 9.967, 9.967 and 6.327 Å and the angles 90.00°, 90.00° and 90.00°. The asymmetric unit holds Li at (0.000, 0.000, 0.000), Nd at (0.096, 0.697, 0.466), Te at (0.000, 0.000, 0.470) and Te at (0.096, 0.714, 0.966).

---

[9]
LiNd3Te4 | GGA-PBE | relaxed

The value obtained for the density of states at the Fermi level is 3.17 states/eV per cell. The value obtained for the energy relative to the lowest polymorph listed for this composition is 0.000 eV per atom. The value obtained for the formation energy from raw total energies is -1.38 eV per atom. As for the crystal system: cubic.

The structure belongs to space group Pm-3m (No. 221); the cell edges are 6.329, 6.329 and 6.329 Å and the angles 90.00°, 90.00° and 90.00°. The asymmetric unit holds Li at (0.000, 0.000, 0.000), Nd at (0.000, 0.500, 0.500), Te at (0.000, 0.000, 0.500) and Te at (0.500, 0.500, 0.500).

---

[10]
LiNd2Te | GGA-PBE | relaxed

The value obtained for the density of states at the Fermi level is 11.85 states/eV per cell. The value obtained for the energy relative to the lowest polymorph listed for this composition is 0.042 eV per atom. The value obtained for the formation energy from raw total energies is -0.56 eV per atom. As for the crystal system: trigonal.

The structure belongs to space group R3m (No. 160, hexagonal axes); the cell edges are 4.2632, 4.2632 and 22.5213 Å and the angles 90.00°, 90.00° and 120.00°. The asymmetric unit holds Li at (0.0000, 0.0000, 0.0000), Nd at (0.0000, 0.0000, 0.2239), Nd at (0.0000, 0.0000, 0.4304) and Te at (0.0000, 0.0000, 0.6590).

---

[11]
LiNd2Te | GGA-PBE | relaxed

The value obtained for the density of states at the Fermi level is 14.60 states/eV per cell. The value obtained for the energy relative to the lowest polymorph listed for this composition is 0.086 eV per atom. The value obtained for the formation energy from raw total energies is -0.52 eV per atom. As for the crystal system: trigonal.

The structure belongs to space group R-3m (No. 166, hexagonal axes); the cell edges are 4.3663, 4.3663 and 23.1783 Å and the angles 90.00°, 90.00° and 120.00°. The asymmetric unit holds Li at (0.0000, 0.0000, 0.0000), Nd at (0.0000, 0.0000, 0.2465) and Te at (0.0000, 0.0000, 0.5000).

---

[12]
LiNdTh2Te4 | GGA-PBE | relaxed

The value obtained for the density of states at the Fermi level is 4.56 states/eV per cell. The value obtained for the formation energy from raw total energies is -1.15 eV per atom. As for the crystal system: monoclinic.

The structure belongs to space group P2/m (No. 10); the cell edges are 7.428, 4.272 and 8.098 Å and the angles 90.00°, 107.43° and 90.00°. The asymmetric unit holds Li at (0.000, 0.000, 0.000), Nd at (0.500, 0.500, 0.000), Th at (0.000, 0.500, 0.500), Th at (0.500, 0.000, 0.500), Te at (0.234, 0.500, 0.235) and Te at (0.240, 0.000, 0.761).

---

[13]
LiNd3Th3Te8 | GGA-PBE | relaxed

The value obtained for the density of states at the Fermi level is 30.09 states/eV per cell. The value obtained for the formation energy from raw total energies is -1.24 eV per atom. As for the crystal system: trigonal.

The structure belongs to space group R-3m (No. 166, hexagonal axes); the cell edges are 8.9013, 8.9013 and 21.9614 Å and the angles 90.00°, 90.00° and 120.00°. The asymmetric unit holds Li at (0.0000, 0.0000, 0.0000), Nd at (0.0000, 0.5000, 0.5000), Th at (0.0000, 0.5000, 0.0000), Te at (0.0000, 0.0000, 0.2496) and Te at (0.0026, 0.5013, 0.7486).

---

[14]
LiNdTh2Te5 | GGA-PBE | relaxed

The value obtained for the density of states at the Fermi level is 23.42 states/eV per cell. The value obtained for the formation energy from raw total energies is -1.13 eV per atom. As for the crystal system: orthorhombic.

The structure belongs to space group Cmc2_1 (No. 36); the cell edges are 4.336, 18.758 and 13.430 Å and the angles 90.00°, 90.00° and 90.00°. The asymmetric unit holds Li at (0.000, 0.057, 0.000), Nd at (0.000, 0.299, 0.541), Th at (0.000, 0.370, 0.837), Th at (0.000, 0.393, 0.216), Te at (0.000, 0.002, 0.322), Te at (0.000, 0.131, 0.534), Te at (0.000, 0.186, 0.872), Te at (0.000, 0.217, 0.208) and Te at (0.000, 0.453, 0.613).

---

[15]
LiNd4Th3Te8 | GGA-PBE | relaxed

The value obtained for the density of states at the Fermi level is 33.06 states/eV per cell. The value obtained for the formation energy from raw total energies is -1.24 eV per atom. As for the crystal system: trigonal.

The structure belongs to space group R-3m (No. 166, hexagonal axes); the cell edges are 8.9358, 8.9358 and 21.8223 Å and the angles 90.00°, 90.00° and 120.00°. The asymmetric unit holds Li at (0.0000, 0.0000, 0.0000), Nd at (0.0000, 0.0000, 0.5000), Nd at (0.0000, 0.5000, 0.5000), Th at (0.0000, 0.5000, 0.0000), Te at (0.0000, 0.0000, 0.2496) and Te at (0.0119, 0.5060, 0.7469).

---

[16]
Li3NdTh2Te6 | GGA-PBE | relaxed

The value obtained for the density of states at the Fermi level is 10.33 states/eV per cell. The value obtained for the formation energy from raw total energies is -1.16 eV per atom. As for the crystal system: monoclinic.

The structure belongs to space group C2/m (No. 12); the cell edges are 7.540, 13.061 and 7.665 Å and the angles 90.00°, 109.13° and 90.00°. The asymmetric unit holds Li at (0.000, 0.000, 0.000), Li at (0.000, 0.334, 0.000), Nd at (0.000, 0.500, 0.500), Th at (0.000, 0.167, 0.500), Te at (0.243, 0.168, 0.232) and Te at (0.247, 0.500, 0.231).

---

[17]
Li4NdTh3Te8 | GGA-PBE | relaxed

The value obtained for the density of states at the Fermi level is 23.17 states/eV per cell. The value obtained for the formation energy from raw total energies is -1.14 eV per atom. As for the crystal system: trigonal.

The structure belongs to space group R-3m (No. 166, hexagonal axes); the cell edges are 8.6717, 8.6717 and 21.8461 Å and the angles 90.00°, 90.00° and 120.00°. The asymmetric unit holds Li at (0.0000, 0.0000, 0.0000), Li at (0.0000, 0.5000, 0.0000), Nd at (0.0000, 0.0000, 0.5000), Th at (0.0000, 0.5000, 0.5000), Te at (0.0000, 0.0000, 0.2568) and Te at (0.0016, 0.5008, 0.7439).

---

[18]
LiNd2Th3Te6 | GGA-PBE | relaxed

The value obtained for the density of states at the Fermi level is 16.35 states/eV per cell. The value obtained for the formation energy from raw total energies is -1.18 eV per atom. As for the crystal system: monoclinic.

The structure belongs to space group C2/m (No. 12); the cell edges are 19.586, 4.361 and 9.076 Å and the angles 90.00°, 106.16° and 90.00°. The asymmetric unit holds Li at (0.000, 0.000, 0.000), Nd at (0.169, 0.500, 0.334), Th at (0.000, 0.000, 0.500), Th at (0.176, 0.500, 0.843), Te at (0.003, 0.500, 0.763), Te at (0.153, 0.000, 0.076) and Te at (0.166, 0.000, 0.583).

---

[19]
LiNd2ThTe4 | GGA-PBE | relaxed

The value obtained for the density of states at the Fermi level is 5.02 states/eV per cell. The value obtained for the formation energy from raw total energies is -1.27 eV per atom. As for the crystal system: monoclinic.

The structure belongs to space group P2/m (No. 10); the cell edges are 7.658, 4.423 and 7.759 Å and the angles 90.00°, 109.01° and 90.00°. The asymmetric unit holds Li at (0.000, 0.000, 0.000), Nd at (0.500, 0.000, 0.500), Nd at (0.500, 0.500, 0.000), Th at (0.000, 0.500, 0.500), Te at (0.236, 0.500, 0.238) and Te at (0.240, 0.000, 0.759).

---

[20]
Li3Nd2ThTe6 | GGA-PBE | relaxed

The value obtained for the density of states at the Fermi level is 8.02 states/eV per cell. The value obtained for the formation energy from raw total energies is -1.23 eV per atom. As for the crystal system: monoclinic.

The structure belongs to space group C2/m (No. 12); the cell edges are 7.642, 13.234 and 7.583 Å and the angles 90.00°, 109.64° and 90.00°. The asymmetric unit holds Li at (0.000, 0.000, 0.000), Li at (0.000, 0.332, 0.000), Nd at (0.000, 0.167, 0.500), Th at (0.000, 0.500, 0.500), Te at (0.241, 0.500, 0.235) and Te at (0.246, 0.165, 0.234).

---

Number 1: spin magnetization 0.000 μB/f.u.. Number 2: spin magnetization 0.000 μB/f.u.. Number 3: spin magnetization 0.000 μB/f.u.. Number 4: spin magnetization 0.000 μB/f.u.. Number 5: spin magnetization 0.000 μB/f.u.. Number 6: spin magnetization 0.000 μB/f.u.. Number 7: spin magnetization 0.000 μB/f.u.. Number 8: spin magnetization 0.000 μB/f.u.. Number 9: spin magnetization 0.000 μB/f.u.. Number 10: spin magnetization 0.451 μB/f.u.. Number 11: spin magnetization 0.000 μB/f.u.. Number 12: spin magnetization 0.000 μB/f.u.. Number 13: spin magnetization 0.000 μB/f.u.. Number 14: spin magnetization 0.000 μB/f.u.. Number 15: spin magnetization 0.000 μB/f.u.. Number 16: spin magnetization 0.000 μB/f.u.. Number 17: spin magnetization 0.000 μB/f.u.. Number 18: spin magnetization 0.000 μB/f.u.. Number 19: spin magnetization 0.000 μB/f.u.. Number 20: spin magnetization 0.000 μB/f.u..